Record 1
Dy5Ir2Ru: optimized geometry, PBE.

Geometry as POSCAR:
```
Dy5Ir2Ru
1.0
7.5451 0.0000 0.0000
0.0000 11.9932 0.0000
0.0000 0.0000 4.2029
Dy Ir Ru
10 4 2
Direct
0.0000 0.0000 0.0000
0.1657 0.2966 0.0000
0.1732 0.5938 0.5000
0.3268 0.0938 0.5000
0.3343 0.7966 0.0000
0.5000 0.5000 0.0000
0.6657 0.2034 0.0000
0.6732 0.9062 0.5000
0.8268 0.4062 0.5000
0.8343 0.7034 0.0000
0.0367 0.8294 0.5000
0.4633 0.3294 0.5000
0.5367 0.6706 0.5000
0.9633 0.1706 0.5000
0.0000 0.5000 0.0000
0.5000 0.0000 0.0000
```

Output
D(E_F) (states/eV/f.u.): 4.02
DFT formation energy (kJ per mole of atoms): -57.80
E (eV per atom): -6.8501
Magnetization (μB per formula unit): 0.0

=====

Record 2
Dy4IrRu2: optimized geometry, PBE.

Geometry as POSCAR:
```
Dy4IrRu2
1.0
4.6819 -4.7778 0.0000
4.6819 4.7778 0.0000
-4.2020 0.0000 7.3229
Dy Ir Ru
8 2 4
Direct
0.1361 0.7121 0.7275
0.2658 0.2658 0.8533
0.2879 0.8639 0.2725
0.3578 0.3578 0.2649
0.6422 0.6422 0.7351
0.7121 0.1361 0.7275
0.7342 0.7342 0.1467
0.8639 0.2879 0.2725
0.2935 0.2935 0.5446
0.7065 0.7065 0.4554
0.0000 0.0000 0.0000
0.0000 0.0000 0.5000
0.0000 0.5000 0.0000
0.5000 0.0000 0.0000
```

Output
D(E_F) (states/eV/f.u.): 5.13
DFT formation energy (kJ per mole of atoms): -31.93
E (eV per atom): -6.8768
Energy relative to the lowest polymorph listed for this composition (eV/atom): 0.102
Magnetization (μB per formula unit): 0.0

=====

Record 3
Dy6IrRu2: optimized geometry, PBE.

Geometry as POSCAR:
```
Dy6IrRu2
1.0
0.0000 6.5790 7.1914
2.3945 0.0000 7.1914
2.3945 6.5790 0.0000
Dy Ir Ru
6 1 2
Direct
0.1272 0.8728 0.1272
0.2056 0.4598 0.5402
0.4598 0.2056 0.7944
0.5402 0.7944 0.2056
0.7944 0.5402 0.4598
0.8728 0.1272 0.8728
0.5000 0.5000 0.5000
0.1670 0.1670 0.8330
0.8330 0.8330 0.1670
```

Output
D(E_F) (states/eV/f.u.): 4.98
DFT formation energy (kJ per mole of atoms): -40.89
E (eV per atom): -6.5377
Energy relative to the lowest polymorph listed for this composition (eV/atom): 0.000
Magnetization (μB per formula unit): 0.0

=====

Record 4
DyScIrRu: optimized geometry, PBE.

Geometry as POSCAR:
```
DyScIrRu
1.0
0.0000 3.3161 3.3161
3.3161 0.0000 3.3161
3.3161 3.3161 0.0000
Dy Sc Ir Ru
1 1 1 1
Direct
0.0000 0.0000 0.0000
0.5000 0.5000 0.5000
0.7500 0.7500 0.7500
0.2500 0.2500 0.2500
```

Output
D(E_F) (states/eV/f.u.): 2.68
DFT formation energy (kJ per mole of atoms): -66.44
E (eV per atom): -7.9562
Energy relative to the lowest polymorph listed for this composition (eV/atom): 0.000
Magnetization (μB per formula unit): 0.0

=====

Record 5
DyScIrRu: optimized geometry, PBE.

Geometry as POSCAR:
```
DyScIrRu
1.0
3.3121 0.0000 0.0000
0.0000 3.3121 0.0000
0.0000 0.0000 6.6360
Dy Sc Ir Ru
1 1 1 1
Direct
0.0000 0.0000 0.0000
0.0000 0.0000 0.4897
0.5000 0.5000 0.7302
0.5000 0.5000 0.2600
```

Output
D(E_F) (states/eV/f.u.): 1.50
DFT formation energy (kJ per mole of atoms): -65.19
E (eV per atom): -7.9433
Energy relative to the lowest polymorph listed for this composition (eV/atom): 0.013
Magnetization (μB per formula unit): 0.0

=====

Record 6
SmDyIrRu: optimized geometry, PBE.

Geometry as POSCAR:
```
SmDyIrRu
1.0
0.0000 3.4499 3.4499
3.4499 0.0000 3.4499
3.4499 3.4499 0.0000
Sm Dy Ir Ru
1 1 1 1
Direct
0.0000 0.0000 0.0000
0.5000 0.5000 0.5000
0.7500 0.7500 0.7500
0.2500 0.2500 0.2500
```

Output
D(E_F) (states/eV/f.u.): 2.73
DFT formation energy (kJ per mole of atoms): -48.59
E (eV per atom): -7.3682
Magnetization (μB per formula unit): 0.0

=====

Record 7
Dy5Sn2Ir2Ru: optimized geometry, PBE.

Geometry as POSCAR:
```
Dy5Sn2Ir2Ru
1.0
11.6191 0.0000 0.0000
0.0000 11.6191 0.0000
0.0000 0.0000 3.5408
Dy Sn Ir Ru
10 4 4 2
Direct
0.0000 0.5000 0.0000
0.0638 0.1950 0.0000
0.1950 0.9362 0.0000
0.3050 0.4362 0.0000
0.4362 0.6950 0.0000
0.5000 0.0000 0.0000
0.5638 0.3050 0.0000
0.6950 0.5638 0.0000
0.8050 0.0638 0.0000
0.9362 0.8050 0.0000
0.1795 0.6795 0.5000
0.3205 0.1795 0.5000
0.6795 0.8205 0.5000
0.8205 0.3205 0.5000
0.1375 0.3625 0.5000
0.3625 0.8625 0.5000
0.6375 0.1375 0.5000
0.8625 0.6375 0.5000
0.0000 0.0000 0.5000
0.5000 0.5000 0.5000
```

Output
D(E_F) (states/eV/f.u.): 3.67
DFT formation energy (kJ per mole of atoms): -56.52
E (eV per atom): -6.3872
Magnetization (μB per formula unit): 0.0

=====

Record 8
TbDyIrRu: optimized geometry, PBE.

Geometry as POSCAR:
```
TbDyIrRu
1.0
0.0000 3.4194 3.4194
3.4194 0.0000 3.4194
3.4194 3.4194 0.0000
Tb Dy Ir Ru
1 1 1 1
Direct
0.0000 0.0000 0.0000
0.5000 0.5000 0.5000
0.2500 0.2500 0.2500
0.7500 0.7500 0.7500
```

Output
D(E_F) (states/eV/f.u.): 2.32
DFT formation energy (kJ per mole of atoms): -56.66
E (eV per atom): -7.4295
Energy relative to the lowest polymorph listed for this composition (eV/atom): 0.000
Magnetization (μB per formula unit): 0.0

=====

Record 9
TbDyIrRu: optimized geometry, PBE.

Geometry as POSCAR:
```
TbDyIrRu
1.0
3.4228 0.0000 0.0000
0.0000 3.4228 0.0000
0.0000 0.0000 6.8143
Tb Dy Ir Ru
1 1 1 1
Direct
0.0000 0.0000 0.0000
0.0000 0.0000 0.4920
0.5000 0.5000 0.7445
0.5000 0.5000 0.2471
```

Output
D(E_F) (states/eV/f.u.): 1.32
DFT formation energy (kJ per mole of atoms): -54.86
E (eV per atom): -7.4109
Energy relative to the lowest polymorph listed for this composition (eV/atom): 0.019
Magnetization (μB per formula unit): 0.0

=====

Record 10
DyThIrRu: optimized geometry, PBE.

Geometry as POSCAR:
```
DyThIrRu
1.0
0.0000 3.4973 3.4973
3.4973 0.0000 3.4973
3.4973 3.4973 0.0000
Dy Th Ir Ru
1 1 1 1
Direct
0.0000 0.0000 0.0000
0.5000 0.5000 0.5000
0.2500 0.2500 0.2500
0.7500 0.7500 0.7500
```

Output
D(E_F) (states/eV/f.u.): 2.62
DFT formation energy (kJ per mole of atoms): -57.97
E (eV per atom): -8.1405
Magnetization (μB per formula unit): 0.0

=====

Record 11
DyTiIrRu: optimized geometry, PBE.

Geometry as POSCAR:
```
DyTiIrRu
1.0
0.0000 3.2557 3.2557
3.2557 0.0000 3.2557
3.2557 3.2557 0.0000
Dy Ti Ir Ru
1 1 1 1
Direct
0.0000 0.0000 0.0000
0.5000 0.5000 0.5000
0.7500 0.7500 0.7500
0.2500 0.2500 0.2500
```

Output
D(E_F) (states/eV/f.u.): 2.36
DFT formation energy (kJ per mole of atoms): -56.20
E (eV per atom): -8.2409
Magnetization (μB per formula unit): 0.0

=====

Record 12
DyUIrRu: optimized geometry, PBE.

Geometry as POSCAR:
```
DyUIrRu
1.0
0.0000 3.4094 3.4094
3.4094 0.0000 3.4094
3.4094 3.4094 0.0000
Dy U Ir Ru
1 1 1 1
Direct
0.0000 0.0000 0.0000
0.5000 0.5000 0.5000
0.7500 0.7500 0.7500
0.2500 0.2500 0.2500
```

Output
D(E_F) (states/eV/f.u.): 7.77
DFT formation energy (kJ per mole of atoms): -38.54
E (eV per atom): -8.9062
Magnetization (μB per formula unit): 2.0